# K3Na2Hg PBE-GGA relaxed
# E_tot ... -1.06 eV/atom
# Density of states at the Fermi level ... 0.5916 states/eV/atom
# DFT formation energy ... -0.0256 eV per atom
data_K3Na2Hg
_chemical_formula_sum 'K12 Na8 Hg4'
_space_group_name_H-M_alt 'C 1 2/c 1'
_space_group_IT_number 15
_cell_length_a 12.357
_cell_length_b 11.321
_cell_length_c 9.789
_cell_angle_alpha 90.00
_cell_angle_beta 113.33
_cell_angle_gamma 90.00
loop_
_space_group_symop_operation_xyz
'x,y,z'
'-x,-y,-z'
'-x,y,-z+1/2'
'x,-y,z+1/2'
'x+1/2,y+1/2,z'
'-x+1/2,-y+1/2,-z'
'-x+1/2,y+1/2,-z+1/2'
'x+1/2,-y+1/2,z+1/2'
loop_
_atom_site_label
_atom_site_type_symbol
_atom_site_fract_x
_atom_site_fract_y
_atom_site_fract_z
K1 K 0.000 0.126 0.250
K2 K 0.167 0.429 0.969
Na1 Na 0.193 0.232 0.640
Hg1 Hg 0.000 0.177 0.750

# KNa7Hg4 PBE-GGA relaxed
# E_tot ... -1.12 eV/atom
# Density of states at the Fermi level ... 0.4906 states/eV/atom
# DFT formation energy ... -0.1564 eV per atom
data_KNa7Hg4
_chemical_formula_sum 'K1 Na7 Hg4'
_space_group_name_H-M_alt 'P -1'
_space_group_IT_number 2
_cell_length_a 6.203
_cell_length_b 7.981
_cell_length_c 8.414
_cell_angle_alpha 112.78
_cell_angle_beta 92.93
_cell_angle_gamma 94.70
loop_
_space_group_symop_operation_xyz
'x,y,z'
'-x,-y,-z'
loop_
_atom_site_label
_atom_site_type_symbol
_atom_site_fract_x
_atom_site_fract_y
_atom_site_fract_z
K1 K 0.000 0.000 0.000
Na1 Na 0.000 0.500 0.000
Na2 Na 0.195 0.597 0.661
Na3 Na 0.383 0.175 0.444
Na4 Na 0.472 0.250 0.879
Hg1 Hg 0.086 0.812 0.393
Hg2 Hg 0.316 0.451 0.266

# K2NaHg3 PBE-GGA relaxed
# E_tot ... -0.93 eV/atom
# Density of states at the Fermi level ... 0.4533 states/eV/atom
# DFT formation energy ... -0.1966 eV per atom
data_K2NaHg3
_chemical_formula_sum 'K4 Na2 Hg6'
_space_group_name_H-M_alt 'I m m 2'
_space_group_IT_number 44
_cell_length_a 4.710
_cell_length_b 4.960
_cell_length_c 19.432
_cell_angle_alpha 90.00
_cell_angle_beta 90.00
_cell_angle_gamma 90.00
loop_
_space_group_symop_operation_xyz
'x,y,z'
'-x,-y,z'
'-x,y,z'
'x,-y,z'
'x+1/2,y+1/2,z+1/2'
'-x+1/2,-y+1/2,z+1/2'
'-x+1/2,y+1/2,z+1/2'
'x+1/2,-y+1/2,z+1/2'
loop_
_atom_site_label
_atom_site_type_symbol
_atom_site_fract_x
_atom_site_fract_y
_atom_site_fract_z
K1 K 0.000 0.000 0.000
K2 K 0.000 0.500 0.280
Na1 Na 0.000 0.000 0.602
Hg1 Hg 0.000 0.000 0.443
Hg2 Hg 0.000 0.500 0.693
Hg3 Hg 0.000 0.500 0.847